The following is a PBE with a Hubbard U calculation of a relaxed structure of CrCl3O, from Alexandria via LeMat-Bulk.

Results
The value obtained for the excess energy over the best structure of this formula in the dataset is 0.000 kcal/mol of atoms. The calculation puts the calculated density at 3039 kg/m3.

```
data_CrCl3O
_cell_length_a 4.567
_cell_length_b 4.567
_cell_length_c 4.567
_cell_angle_alpha 90.00
_cell_angle_beta 90.00
_cell_angle_gamma 90.00
_space_group_name_H-M_alt 'P m -3 m'
_space_group_IT_number 221
_space_group_name_Hall '-P 4 2 3'
loop_
_atom_site_label
_atom_site_type_symbol
_atom_site_fract_x
_atom_site_fract_y
_atom_site_fract_z
Cr1 Cr 0.000 0.000 0.000
Cl1 Cl 0.000 0.000 0.500
O1 O 0.500 0.500 0.500
```

---

The following is a PBE with a Hubbard U calculation of a relaxed structure of Sr2CoGe2O7, from Alexandria via LeMat-Bulk.

Results
Its uncorrected energy is -6.49 eV per atom. The calculation puts the calculated density at 4429 kg/m3.

```
data_Sr2CoGe2O7
_cell_length_a 8.262
_cell_length_b 8.262
_cell_length_c 5.398
_cell_angle_alpha 90.00
_cell_angle_beta 90.00
_cell_angle_gamma 90.00
_space_group_name_H-M_alt 'P -4 21 m'
_space_group_IT_number 113
loop_
_space_group_symop_operation_xyz
'x,y,z'
'y,-x,-z'
'-x,-y,z'
'-y,x,-z'
'x+1/2,-y+1/2,-z'
'y+1/2,x+1/2,z'
'-x+1/2,y+1/2,-z'
'-y+1/2,-x+1/2,z'
loop_
_atom_site_label
_atom_site_type_symbol
_atom_site_fract_x
_atom_site_fract_y
_atom_site_fract_z
Sr1 Sr 0.166 0.334 0.007
Co1 Co 0.000 0.000 0.500
Ge1 Ge 0.143 0.643 0.548
O1 O 0.000 0.500 0.684
O2 O 0.082 0.821 0.708
O3 O 0.139 0.639 0.226
```

---

no.,V (Å³ per cell)
1,95.3
2,368.5